No. 1
{"formula": "Ho7Tm12Pu", "functional": "GGA-PBE", "state": "optimized geometry", "lattice_angstrom": [[9.571, 0.000, -3.384], [-4.785, 8.288, -3.384], [0.000, 0.000, 10.151]], "species": ["Ho", "Tm", "Tm", "Tm", "Ho", "Ho", "Tm", "Tm", "Ho", "Tm", "Tm", "Ho", "Tm", "Tm", "Tm", "Tm", "Ho", "Pu", "Tm", "Ho"], "fractional_positions": [[0.000, 0.000, 0.500], [0.647, 0.258, 0.905], [0.258, 0.905, 0.647], [0.095, 0.353, 0.742], [0.000, 0.500, 0.000], [0.500, 0.500, 0.000], [0.905, 0.647, 0.258], [0.389, 0.647, 0.742], [0.500, 0.000, 0.000], [0.742, 0.389, 0.647], [0.742, 0.095, 0.353], [0.000, 0.500, 0.500], [0.353, 0.258, 0.611], [0.353, 0.742, 0.095], [0.647, 0.742, 0.389], [0.258, 0.611, 0.353], [0.500, 0.000, 0.500], [0.000, 0.000, 0.000], [0.611, 0.353, 0.258], [0.500, 0.500, 0.500]], "energy_ev_per_atom": -4.1473, "space_group": "Im-3, No. 204", "density_g_cm3": 7.06, "dos_at_fermi_per_ev_fu": 51.755}

No. 2
{"formula": "Ho6Tm2Pu", "functional": "GGA-PBE", "state": "optimized geometry", "lattice_angstrom": [[7.217, 0.000, 0.000], [3.609, 6.250, 0.000], [3.609, 2.083, 6.288]], "species": ["Ho", "Ho", "Tm", "Pu", "Ho", "Ho", "Ho", "Tm", "Ho"], "fractional_positions": [[0.773, 0.260, 0.707], [0.056, 0.603, 0.286], [0.757, 0.757, 0.729], [0.323, 0.323, 0.032], [0.260, 0.773, 0.707], [0.056, 0.056, 0.286], [0.260, 0.260, 0.707], [0.579, 0.579, 0.264], [0.603, 0.056, 0.286]], "energy_ev_per_atom": -5.2918, "space_group": "R3m, No. 160", "density_g_cm3": 9.20, "dos_at_fermi_per_ev_fu": 12.524, "relative_energy_ev_per_atom": 0.3091}

No. 3
{"formula": "Ho10Tm4Pu", "functional": "GGA-PBE", "state": "optimized geometry", "lattice_angstrom": [[9.402, 0.000, 4.245], [4.701, 6.808, 2.123], [1.899, 0.000, 8.328]], "species": ["Tm", "Ho", "Ho", "Ho", "Ho", "Ho", "Ho", "Tm", "Ho", "Ho", "Tm", "Ho", "Tm", "Pu", "Ho"], "fractional_positions": [[0.330, 0.739, 0.602], [0.554, 0.899, 0.673], [0.250, 0.500, 0.500], [0.547, 0.327, 0.899], [0.446, 0.101, 0.327], [0.874, 0.899, 0.673], [0.750, 0.500, 0.500], [0.932, 0.398, 0.739], [0.453, 0.673, 0.101], [0.773, 0.673, 0.101], [0.068, 0.602, 0.261], [0.227, 0.327, 0.899], [0.670, 0.261, 0.398], [0.000, 0.000, 0.000], [0.126, 0.101, 0.327]], "energy_ev_per_atom": -4.8044, "space_group": "I4/m, No. 87", "density_g_cm3": 8.92, "dos_at_fermi_per_ev_fu": 29.416}

No. 4
{"formula": "Ho6Tm5Pu", "functional": "GGA-PBE", "state": "optimized geometry", "lattice_angstrom": [[4.490, 0.000, 2.070], [2.245, 7.402, 1.035], [0.348, 0.000, 11.059]], "species": ["Ho", "Tm", "Pu", "Tm", "Tm", "Tm", "Ho", "Ho", "Ho", "Tm", "Ho", "Ho"], "fractional_positions": [[0.252, 0.000, 0.248], [0.665, 0.670, 0.000], [0.000, 0.000, 0.000], [0.335, 0.330, 0.000], [0.500, 0.000, 0.500], [0.833, 0.334, 0.500], [0.748, 0.000, 0.752], [0.083, 0.330, 0.752], [0.414, 0.670, 0.752], [0.167, 0.666, 0.500], [0.586, 0.330, 0.248], [0.917, 0.670, 0.248]], "energy_ev_per_atom": -5.3025, "space_group": "Cmmm, No. 65", "density_g_cm3": 9.53, "dos_at_fermi_per_ev_fu": 22.112}

No. 5
{"formula": "Ho8Tm6Pu", "functional": "GGA-PBE", "state": "optimized geometry", "lattice_angstrom": [[-5.029, -6.439, 2.183], [0.812, -7.110, -4.505], [3.710, -6.525, 3.895]], "species": ["Ho", "Ho", "Pu", "Tm", "Ho", "Tm", "Ho", "Ho", "Tm", "Ho", "Tm", "Ho", "Tm", "Ho", "Tm"], "fractional_positions": [[0.718, 0.751, 0.111], [0.576, 0.576, 0.576], [0.000, 0.000, 0.000], [0.778, 0.886, 0.454], [0.424, 0.424, 0.424], [0.454, 0.778, 0.886], [0.111, 0.718, 0.751], [0.249, 0.889, 0.282], [0.114, 0.546, 0.222], [0.889, 0.282, 0.249], [0.546, 0.222, 0.114], [0.282, 0.249, 0.889], [0.886, 0.454, 0.778], [0.751, 0.111, 0.718], [0.222, 0.114, 0.546]], "energy_ev_per_atom": -5.0673, "space_group": "R-3, No. 148", "density_g_cm3": 9.28, "dos_at_fermi_per_ev_fu": 20.433}

No. 6
{"formula": "Ho8Tm2Pu", "functional": "GGA-PBE", "state": "optimized geometry", "lattice_angstrom": [[5.230, 0.000, -1.588], [-0.958, 7.092, -3.154], [-0.035, -0.185, 9.289]], "species": ["Tm", "Ho", "Ho", "Pu", "Ho", "Ho", "Ho", "Tm", "Ho", "Ho", "Ho"], "fractional_positions": [[0.198, 0.698, 0.396], [0.000, 0.716, 0.000], [0.635, 0.422, 0.270], [0.500, 0.000, 0.000], [0.635, 0.848, 0.270], [0.000, 0.284, 0.000], [0.168, 0.168, 0.337], [0.802, 0.302, 0.604], [0.365, 0.578, 0.730], [0.832, 0.832, 0.663], [0.365, 0.152, 0.730]], "energy_ev_per_atom": -5.3177, "space_group": "Immm, No. 71", "density_g_cm3": 9.27, "dos_at_fermi_per_ev_fu": 20.909, "relative_energy_ev_per_atom": 0.0000}

No. 7
{"formula": "Ho12Tm7Pu", "functional": "GGA-PBE", "state": "optimized geometry", "lattice_angstrom": [[9.178, 0.000, -3.245], [-4.589, 7.948, -3.245], [0.000, 0.000, 9.734]], "species": ["Tm", "Ho", "Ho", "Ho", "Tm", "Tm", "Pu", "Ho", "Tm", "Ho", "Tm", "Tm", "Ho", "Ho", "Ho", "Ho", "Ho", "Ho", "Tm", "Ho"], "fractional_positions": [[0.500, 0.000, 0.500], [0.254, 0.254, 0.508], [0.746, 0.492, 0.746], [0.492, 0.746, 0.746], [0.500, 0.000, 0.000], [0.000, 0.500, 0.500], [0.000, 0.000, 0.000], [0.000, 0.746, 0.254], [0.500, 0.500, 0.000], [0.254, 0.000, 0.746], [0.000, 0.000, 0.500], [0.000, 0.500, 0.000], [0.508, 0.254, 0.254], [0.746, 0.254, 0.000], [0.746, 0.000, 0.254], [0.254, 0.746, 0.000], [0.254, 0.508, 0.254], [0.000, 0.254, 0.746], [0.500, 0.500, 0.500], [0.746, 0.746, 0.492]], "energy_ev_per_atom": -4.2588, "space_group": "Im-3m, No. 229", "density_g_cm3": 7.96, "dos_at_fermi_per_ev_fu": 34.954, "relative_energy_ev_per_atom": 0.6590}

No. 8
{"formula": "Ho6Tm2Pu", "functional": "GGA-PBE", "state": "optimized geometry", "lattice_angstrom": [[-5.053, -4.747, -5.809], [6.086, 0.439, 0.893], [1.149, -4.422, 15.590]], "species": ["Ho", "Ho", "Ho", "Tm", "Ho", "Pu", "Ho", "Ho", "Pu", "Ho", "Ho", "Tm", "Tm", "Ho", "Tm", "Ho", "Ho", "Ho"], "fractional_positions": [[0.751, 0.333, 0.666], [0.249, 0.667, 0.334], [0.749, 0.443, 0.444], [0.252, 0.446, 0.776], [0.249, 0.331, 0.999], [0.746, 0.000, 0.332], [0.751, 0.669, 0.001], [0.249, 0.777, 0.112], [0.254, 0.000, 0.668], [0.751, 0.223, 0.888], [0.756, 0.888, 0.554], [0.252, 0.232, 0.224], [0.748, 0.554, 0.224], [0.244, 0.112, 0.446], [0.748, 0.768, 0.776], [0.251, 0.889, 0.886], [0.251, 0.557, 0.556], [0.749, 0.111, 0.114]], "energy_ev_per_atom": -5.6009, "space_group": "P-1, No. 2", "density_g_cm3": 9.48, "dos_at_fermi_per_ev_fu": 19.498, "relative_energy_ev_per_atom": 0.0000}

No. 9
{"formula": "Ho3Tm8Pu", "functional": "GGA-PBE", "state": "optimized geometry", "lattice_angstrom": [[-5.547, 4.786, -1.729], [-2.645, -4.897, -5.068], [-0.296, -3.104, 8.743]], "species": ["Tm", "Ho", "Tm", "Tm", "Tm", "Ho", "Pu", "Tm", "Tm", "Ho", "Tm", "Tm"], "fractional_positions": [[0.876, 0.367, 0.243], [0.500, 0.500, 0.000], [0.367, 0.367, 0.243], [0.124, 0.124, 0.757], [0.633, 0.124, 0.757], [0.250, 0.750, 0.500], [0.000, 0.000, 0.000], [0.876, 0.876, 0.243], [0.367, 0.876, 0.243], [0.750, 0.250, 0.500], [0.633, 0.633, 0.757], [0.124, 0.633, 0.757]], "energy_ev_per_atom": -4.5723, "space_group": "I4/mmm, No. 139", "density_g_cm3": 8.06, "dos_at_fermi_per_ev_fu": 19.929}

No. 10
{"formula": "Ho3Tm8Pu2", "functional": "GGA-PBE", "state": "optimized geometry", "lattice_angstrom": [[-4.248, -2.097, 3.707], [3.420, -1.368, 4.780], [-0.090, 9.598, 5.305]], "species": ["Tm", "Tm", "Tm", "Pu", "Tm", "Ho", "Ho", "Ho", "Tm", "Tm", "Tm", "Pu", "Tm"], "fractional_positions": [[0.423, 0.464, 0.157], [0.111, 0.307, 0.765], [0.889, 0.693, 0.235], [0.269, 0.390, 0.462], [0.351, 0.927, 0.311], [0.038, 0.768, 0.923], [0.962, 0.232, 0.077], [0.500, 0.000, 0.000], [0.808, 0.156, 0.388], [0.192, 0.844, 0.612], [0.649, 0.073, 0.689], [0.731, 0.610, 0.538], [0.577, 0.536, 0.843]], "energy_ev_per_atom": -5.9531, "space_group": "P-1, No. 2", "density_g_cm3": 10.04, "dos_at_fermi_per_ev_fu": 28.004}

No. 11
{"formula": "Ho6Tm12Pu", "functional": "GGA-PBE", "state": "optimized geometry", "lattice_angstrom": [[8.342, 0.490, 0.587], [-0.781, 8.320, 0.587], [-0.781, -0.910, 8.291]], "species": ["Tm", "Tm", "Tm", "Tm", "Ho", "Ho", "Tm", "Tm", "Pu", "Tm", "Tm", "Ho", "Tm", "Tm", "Ho", "Tm", "Ho", "Tm", "Ho"], "fractional_positions": [[0.476, 0.535, 0.208], [0.208, 0.476, 0.535], [0.465, 0.792, 0.524], [0.148, 0.372, 0.053], [0.881, 0.259, 0.731], [0.741, 0.269, 0.119], [0.524, 0.465, 0.792], [0.053, 0.148, 0.372], [0.000, 0.000, 0.000], [0.535, 0.208, 0.476], [0.947, 0.852, 0.628], [0.269, 0.119, 0.741], [0.628, 0.947, 0.852], [0.792, 0.524, 0.465], [0.259, 0.731, 0.881], [0.372, 0.053, 0.148], [0.731, 0.881, 0.259], [0.852, 0.628, 0.947], [0.119, 0.741, 0.269]], "energy_ev_per_atom": -4.8634, "space_group": "R-3, No. 148", "density_g_cm3": 9.22, "dos_at_fermi_per_ev_fu": 35.027}

No. 12
{"formula": "Ho3TmPu", "functional": "GGA-PBE", "state": "optimized geometry", "lattice_angstrom": [[-4.907, 0.149, 0.516], [0.542, -3.283, 6.106], [3.253, 6.775, 5.360]], "species": ["Ho", "Tm", "Ho", "Pu", "Tm", "Pu", "Ho", "Ho", "Ho", "Ho"], "fractional_positions": [[0.798, 0.354, 0.597], [0.802, 0.847, 0.603], [0.999, 0.254, 0.999], [0.599, 0.450, 0.197], [0.198, 0.153, 0.397], [0.401, 0.550, 0.803], [0.601, 0.950, 0.201], [0.001, 0.746, 0.001], [0.202, 0.646, 0.403], [0.399, 0.050, 0.799]], "energy_ev_per_atom": -6.4287, "space_group": "C2/m, No. 12", "density_g_cm3": 10.07, "dos_at_fermi_per_ev_fu": 13.153, "relative_energy_ev_per_atom": 0.0000}

no.,volume (A^3/atom)
1,40.26
2,31.52
3,31.88
4,30.18
5,30.74
6,30.98
7,35.50
8,30.57
9,35.90
10,29.68
11,30.90
12,29.93